1.
# SmPu2Pa3As6

A geometry-optimized SmPu2Pa3As6 structure (GGA-PBE, the Alexandria database).

```
data_SmPu2Pa3As6
_chemical_formula_sum 'Sm2 Pu4 Pa6 As12'
_cell_length_a 7.158
_cell_length_b 12.400
_cell_length_c 7.137
_cell_angle_alpha 90.00
_cell_angle_beta 109.53
_cell_angle_gamma 90.00
_symmetry_space_group_name_H-M 'C 1 2/m 1'
_symmetry_Int_Tables_number 12
loop_
_symmetry_equiv_pos_as_xyz
'x,y,z'
'-x,-y,-z'
'-x,y,-z'
'x,-y,z'
'x+1/2,y+1/2,z'
'-x+1/2,-y+1/2,-z'
'-x+1/2,y+1/2,-z'
'x+1/2,-y+1/2,z'
loop_
_atom_site_label
_atom_site_fract_x
_atom_site_fract_y
_atom_site_fract_z
Sm1 0.000 0.000 0.000
Pu1 0.000 0.333 0.000
Pa1 0.000 0.166 0.500
Pa2 0.000 0.500 0.500
As1 0.247 0.332 0.744
As2 0.249 0.500 0.256
```

Calculated values
The calculation puts the density of states at the Fermi level at 46.25 states/eV/cell. The calculation puts the formation energy at -1141 meV per atom. As for the total magnetic moment: 23.01 μB per cell.

2.
# Sr6LiH12

A geometry-optimized Sr6LiH12 structure (GGA-PBE, the Alexandria database).

```
data_Sr6LiH12
_chemical_formula_sum 'Sr18 Li3 H36'
_cell_length_a 10.6068
_cell_length_b 10.6068
_cell_length_c 10.0223
_cell_angle_alpha 90.00
_cell_angle_beta 90.00
_cell_angle_gamma 120.00
_symmetry_space_group_name_H-M 'R -3'
_symmetry_Int_Tables_number 148
_symmetry_space_group_name_Hall '-R 3'
loop_
_atom_site_label
_atom_site_fract_x
_atom_site_fract_y
_atom_site_fract_z
Sr1 0.0569 0.2617 0.1582
Li1 0.0000 0.0000 0.5000
H1 0.0448 0.2071 0.3991
H2 0.0446 0.2280 0.9060
```

Calculated values
The calculation puts the density of states at the Fermi level at 12.20 states/eV/cell. For the energy, the calculation gives -60.81 eV/f.u. As for the total magnetic moment: 0.00 μB per cell.